Compound: Mg2TlMo
Source: the Alexandria database
Functional: GGA-PBE
Structure: optimized geometry

Cell: 5.5119 5.5119 5.5119 Å, 136.29 136.29 63.53°
Site moments in Bohr magnetons follow the coordinates.
Fractional positions:
Tl  0.7500  0.2500  0.5000  -0.02
Mo  0.2500  0.7500  0.5000  0.51
Mg  0.5000  0.5000  0.0000  0.01
Mg  0.0000  0.0000  0.0000  0.01

## Properties
DFT total energy ... -14.77 eV per cell
Formation energy from the elements ... 0.4032 eV/atom